Compound: Li3Ca3Zn2
Source: the Alexandria database
Functional: GGA-PBE
Structure: relaxed

a = 4.306 Å, b = 7.576 Å, c = 7.576 Å
α = 120.00°, β = 90.00°, γ = 90.00°
Sites, in units of the cell vectors:
1 Li 0.000 0.000 0.245
2 Zn 0.000 0.667 0.333
3 Li 0.000 0.755 0.755
4 Ca 0.500 0.403 0.403
5 Li 0.000 0.245 0.000
6 Zn 0.000 0.333 0.667
7 Ca 0.500 0.597 0.000
8 Ca 0.500 0.000 0.597

Results
* spin magnetization: 0.0 μB/cell
* crystal system: hexagonal
* calculated total energy: -1.883 eV per atom
* SG: No. 189